[1]
The following is a PBE-GGA calculation of crystalline NpAuF at its relaxed geometry, from the Alexandria database.

a b c (Å): 4.8583 4.8583 19.5286
angles (deg): 90.00 90.00 120.00
Space group R-3m (No. 166, hexagonal axes)
Asymmetric unit:
1 Np 0.0000 0.0000 0.0712 [6 per cell]
2 Au 0.0000 0.0000 0.3391 [6 per cell]
3 F 0.0000 0.0000 0.1811 [6 per cell]

Values from the calculation:
- E (eV/cell) = -132.68
- energy relative to the elements, uncorrected (meV/atom) = -1341
- D(E_F) (states/eV per cell) = 48.57

---

[2]
The following is a PBE-GGA calculation of crystalline AuOF2 at its relaxed geometry, from the Alexandria database.

a b c (Å): 3.7096 3.7096 14.9426
angles (deg): 90.00 90.00 90.00
Space group I-42d (No. 122)
Asymmetric unit:
1 Au 0.0000 0.0000 0.0000 [4 per cell]
2 O 0.0000 0.0000 0.5000 [4 per cell]
3 F 0.2235 0.2500 0.1250 [8 per cell]

Values from the calculation:
- E (eV/cell) = -44.26
- energy relative to the elements, uncorrected (meV/atom) = 229
- D(E_F) (states/eV per cell) = 5.60
- energy relative to the lowest polymorph listed for this composition (meV per atom) = 826

---

[3]
The following is a PBE-GGA calculation of crystalline AuOF at its relaxed geometry, from the Alexandria database.

a b c (Å): 4.3691 5.0556 5.1065
angles (deg): 103.21 96.91 109.53
Space group P-1 (No. 2)
Asymmetric unit:
1 Au 0.0043 0.2586 0.2608 [2 per cell]
2 O 0.2604 0.6774 0.4596 [2 per cell]
3 F 0.2711 0.1824 0.9544 [2 per cell]

Values from the calculation:
- E (eV/cell) = -22.31
- energy relative to the elements, uncorrected (meV/atom) = -349
- energy relative to the lowest polymorph listed for this composition (meV per atom) = 0

---

[4]
The following is a PBE-GGA calculation of crystalline AuO2F6 at its relaxed geometry, from the Alexandria database.

a b c (Å): 5.0844 5.3528 5.3551
angles (deg): 79.13 74.71 76.58
Space group P-1 (No. 2)
Asymmetric unit:
1 Au 0.0000 0.0000 0.0000 [1 per cell]
2 O 0.3948 0.4734 0.4979 [2 per cell]
3 F 0.0560 0.1743 0.2643 [2 per cell]
4 F 0.2141 0.6707 0.1269 [2 per cell]
5 F 0.3404 0.0838 0.7620 [2 per cell]

Values from the calculation:
- E (eV/cell) = -30.16
- energy relative to the elements, uncorrected (meV/atom) = -637
- D(E_F) (states/eV per cell) = 2.84
- energy relative to the lowest polymorph listed for this composition (meV per atom) = 0

---

[5]
The following is a PBE-GGA calculation of crystalline AuO3F6 at its relaxed geometry, from the Alexandria database.

a b c (Å): 5.3307 5.6286 5.6321
angles (deg): 65.23 82.26 82.36
Space group P1 (No. 1)
Asymmetric unit:
1 Au 0.0000 0.0000 0.0000 [1 per cell]
2 O 0.4499 0.6171 0.6178 [1 per cell]
3 O 0.5009 0.4830 0.4837 [1 per cell]
4 O 0.7236 0.4131 0.4129 [1 per cell]
5 F 0.1715 0.1043 0.6491 [1 per cell]
6 F 0.1710 0.6490 0.1070 [1 per cell]
7 F 0.2772 0.1118 0.1090 [1 per cell]
8 F 0.7220 0.8886 0.8914 [1 per cell]
9 F 0.8272 0.8967 0.3520 [1 per cell]
10 F 0.8279 0.3522 0.8940 [1 per cell]

Values from the calculation:
- E (eV/cell) = -33.46
- energy relative to the elements, uncorrected (meV/atom) = -408
- D(E_F) (states/eV per cell) = 4.50

---

[6]
The following is a PBE-GGA calculation of crystalline AuOF2 at its relaxed geometry, from the Alexandria database.

a b c (Å): 9.1036 5.2610 7.2077
angles (deg): 90.00 123.27 90.00
Space group C2/m (No. 12)
Asymmetric unit:
1 Au 0.1768 0.0000 0.2621 [4 per cell]
2 O 0.0519 0.5000 0.6060 [4 per cell]
3 F 0.1067 0.0000 0.9344 [4 per cell]
4 F 0.2203 0.0000 0.5667 [4 per cell]

Values from the calculation:
- E (eV/cell) = -57.47
- energy relative to the elements, uncorrected (meV/atom) = -598
- D(E_F) (states/eV per cell) = 5.98
- energy relative to the lowest polymorph listed for this composition (meV per atom) = 0

---

[7]
The following is a PBE-GGA calculation of crystalline AuO2F4 at its relaxed geometry, from the Alexandria database.

a b c (Å): 3.9999 4.5525 6.4957
angles (deg): 73.78 83.68 87.39
Space group P-1 (No. 2)
Asymmetric unit:
1 Au 0.0000 0.0000 0.0000 [1 per cell]
2 O 0.3926 0.4205 0.4913 [2 per cell]
3 F 0.1113 0.5930 0.1784 [2 per cell]
4 F 0.3644 0.9733 0.7784 [2 per cell]

Values from the calculation:
- E (eV/cell) = -25.40
- energy relative to the elements, uncorrected (meV/atom) = -675

---

[8]
The following is a PBE-GGA calculation of crystalline AuO2F at its relaxed geometry, from the Alexandria database.

a b c (Å): 5.3878 5.3878 5.3878
angles (deg): 90.00 90.00 90.00
Space group Fm-3m (No. 225)
Asymmetric unit:
1 Au 0.0000 0.0000 0.0000 [4 per cell]
2 O 0.2500 0.2500 0.2500 [8 per cell]
3 F 0.0000 0.0000 0.5000 [4 per cell]

Values from the calculation:
- E (eV/cell) = -49.71
- energy relative to the elements, uncorrected (meV/atom) = 659
- D(E_F) (states/eV per cell) = 18.11

---

[9]
The following is a PBE-GGA calculation of crystalline AuO6F2 at its relaxed geometry, from the Alexandria database.

a b c (Å): 3.8498 6.0471 6.9699
angles (deg): 113.97 101.50 90.85
Space group P-1 (No. 2)
Asymmetric unit:
1 Au 0.0000 0.0000 0.0000 [1 per cell]
2 O 0.0331 0.6931 0.4212 [2 per cell]
3 O 0.0621 0.2777 0.7462 [2 per cell]
4 O 0.1497 0.9431 0.2654 [2 per cell]
5 F 0.3859 0.2700 0.1357 [2 per cell]

Values from the calculation:
- E (eV/cell) = -37.59
- energy relative to the elements, uncorrected (meV/atom) = -92
- D(E_F) (states/eV per cell) = 0.95

---

[10]
The following is a PBE-GGA calculation of crystalline Au2OF at its relaxed geometry, from the Alexandria database.

a b c (Å): 4.7645 4.7645 12.9447
angles (deg): 90.00 90.00 90.00
Space group I-42d (No. 122)
Asymmetric unit:
1 Au 0.1365 0.2500 0.1250 [8 per cell]
2 O 0.0000 0.0000 0.0000 [4 per cell]
3 F 0.0000 0.0000 0.5000 [4 per cell]

Values from the calculation:
- E (eV/cell) = -53.48
- energy relative to the elements, uncorrected (meV/atom) = 3
- D(E_F) (states/eV per cell) = 10.78
- energy relative to the lowest polymorph listed for this composition (meV per atom) = 0

---

[11]
The following is a PBE-GGA calculation of crystalline AuO2F at its relaxed geometry, from the Alexandria database.

a b c (Å): 3.4518 3.4518 16.4917
angles (deg): 90.00 90.00 120.00
Space group R-3m (No. 166, hexagonal axes)
Asymmetric unit:
1 Au 0.0000 0.0000 0.0000 [3 per cell]
2 O 0.0000 0.0000 0.3863 [6 per cell]
3 F 0.0000 0.0000 0.5000 [3 per cell]

Values from the calculation:
- E (eV/cell) = -42.43
- energy relative to the elements, uncorrected (meV/atom) = 230
- D(E_F) (states/eV per cell) = 6.78

---

[12]
The following is a PBE-GGA calculation of crystalline AuO4F at its relaxed geometry, from the Alexandria database.

a b c (Å): 4.2883 20.2409 4.8299
angles (deg): 90.00 99.13 90.00
Space group C2/c (No. 15)
Asymmetric unit:
1 Au 0.0000 0.0833 0.2500 [4 per cell]
2 O 0.0326 0.2892 0.1303 [8 per cell]
3 O 0.1234 0.0824 0.6804 [8 per cell]
4 F 0.0000 0.4169 0.7500 [4 per cell]

Values from the calculation:
- E (eV/cell) = -102.38
- energy relative to the elements, uncorrected (meV/atom) = -102
- D(E_F) (states/eV per cell) = 7.21

---

[13]
The following is a PBE-GGA calculation of crystalline AuOF2 at its relaxed geometry, from the Alexandria database.

a b c (Å): 5.6439 5.6439 5.6439
angles (deg): 90.00 90.00 90.00
Space group Fm-3m (No. 225)
Asymmetric unit:
1 Au 0.0000 0.0000 0.0000 [4 per cell]
2 O 0.0000 0.0000 0.5000 [4 per cell]
3 F 0.2500 0.2500 0.2500 [8 per cell]

Values from the calculation:
- E (eV/cell) = -39.67
- energy relative to the elements, uncorrected (meV/atom) = 515
- D(E_F) (states/eV per cell) = 38.42
- energy relative to the lowest polymorph listed for this composition (meV per atom) = 1113

---

[14]
The following is a PBE-GGA calculation of crystalline Au2OF at its relaxed geometry, from the Alexandria database.

a b c (Å): 6.0151 6.0151 6.0151
angles (deg): 90.00 90.00 90.00
Space group Fm-3m (No. 225)
Asymmetric unit:
1 Au 0.2500 0.2500 0.2500 [8 per cell]
2 O 0.0000 0.0000 0.0000 [4 per cell]
3 F 0.0000 0.0000 0.5000 [4 per cell]

Values from the calculation:
- E (eV/cell) = -49.58
- energy relative to the elements, uncorrected (meV/atom) = 248
- D(E_F) (states/eV per cell) = 15.96
- energy relative to the lowest polymorph listed for this composition (meV per atom) = 244

---

[15]
The following is a PBE-GGA calculation of crystalline AuOF2 at its relaxed geometry, from the Alexandria database.

a b c (Å): 2.9180 2.9180 21.8950
angles (deg): 90.00 90.00 120.00
Space group R-3m (No. 166, hexagonal axes)
Asymmetric unit:
1 Au 0.0000 0.0000 0.0000 [3 per cell]
2 O 0.0000 0.0000 0.5000 [3 per cell]
3 F 0.0000 0.0000 0.4226 [6 per cell]

Values from the calculation:
- E (eV/cell) = -32.47
- energy relative to the elements, uncorrected (meV/atom) = 289
- D(E_F) (states/eV per cell) = 2.31
- energy relative to the lowest polymorph listed for this composition (meV per atom) = 887

---

[16]
The following is a PBE-GGA calculation of crystalline Au3O4F at its relaxed geometry, from the Alexandria database.

a b c (Å): 2.9521 4.1204 10.7407
angles (deg): 89.51 86.73 88.77
Space group P-1 (No. 2)
Asymmetric unit:
1 Au 0.0000 0.0000 0.0000 [1 per cell]
2 Au 0.0633 0.5046 0.7567 [2 per cell]
3 O 0.0510 0.0038 0.8025 [2 per cell]
4 O 0.4882 0.1501 0.4985 [2 per cell]
5 F 0.0000 0.5000 0.0000 [1 per cell]

Values from the calculation:
- E (eV/cell) = -30.96
- energy relative to the elements, uncorrected (meV/atom) = 72
- D(E_F) (states/eV per cell) = 3.41

---

[17]
The following is a PBE-GGA calculation of crystalline AuOF at its relaxed geometry, from the Alexandria database.

a b c (Å): 3.0166 8.0732 8.7889
angles (deg): 78.60 80.46 89.99
Space group P-1 (No. 2)
Asymmetric unit:
1 Au 0.1772 0.2094 0.1500 [2 per cell]
2 Au 0.1780 0.7093 0.1498 [2 per cell]
3 O 0.3045 0.3156 0.5272 [2 per cell]
4 O 0.3322 0.1843 0.4740 [2 per cell]
5 F 0.0316 0.5465 0.8218 [2 per cell]
6 F 0.3588 0.9533 0.1790 [2 per cell]

Values from the calculation:
- E (eV/cell) = -44.27
- energy relative to the elements, uncorrected (meV/atom) = -320
- D(E_F) (states/eV per cell) = 2.60
- energy relative to the lowest polymorph listed for this composition (meV per atom) = 29

---

[18]
The following is a PBE-GGA calculation of crystalline AuOF2 at its relaxed geometry, from the Alexandria database.

a b c (Å): 2.8971 2.8971 23.2389
angles (deg): 90.00 90.00 120.00
Space group R-3m (No. 166, hexagonal axes)
Asymmetric unit:
1 Au 0.0000 0.0000 0.0000 [3 per cell]
2 O 0.0000 0.0000 0.5000 [3 per cell]
3 F 0.0000 0.0000 0.0843 [6 per cell]

Values from the calculation:
- E (eV/cell) = -30.95
- energy relative to the elements, uncorrected (meV/atom) = 416
- D(E_F) (states/eV per cell) = 11.58
- energy relative to the lowest polymorph listed for this composition (meV per atom) = 1013

---

[19]
The following is a PBE-GGA calculation of crystalline AuO2F at its relaxed geometry, from the Alexandria database.

a b c (Å): 4.3122 4.3122 12.4324
angles (deg): 90.00 90.00 90.00
Space group I-42d (No. 122)
Asymmetric unit:
1 Au 0.0000 0.0000 0.0000 [4 per cell]
2 O 0.1773 0.2500 0.1250 [8 per cell]
3 F 0.0000 0.0000 0.5000 [4 per cell]

Values from the calculation:
- E (eV/cell) = -50.57
- energy relative to the elements, uncorrected (meV/atom) = 606
- D(E_F) (states/eV per cell) = 9.91

---

[20]
The following is a PBE-GGA calculation of crystalline AuO2F6 at its relaxed geometry, from the Alexandria database.

a b c (Å): 16.1727 5.7457 6.9894
angles (deg): 90.00 114.24 90.00
Space group C2/c (No. 15)
Asymmetric unit:
1 Au 0.0000 0.2096 0.2500 [4 per cell]
2 O 0.1948 0.1608 0.0330 [8 per cell]
3 F 0.0787 0.0308 0.7167 [8 per cell]
4 F 0.0804 0.4447 0.2250 [8 per cell]
5 F 0.2345 0.0467 0.6100 [8 per cell]

Values from the calculation:
- E (eV/cell) = -108.52
- energy relative to the elements, uncorrected (meV/atom) = -301
- D(E_F) (states/eV per cell) = 16.35
- energy relative to the lowest polymorph listed for this composition (meV per atom) = 336

---

[21]
The following is a PBE-GGA calculation of crystalline AuO2F at its relaxed geometry, from the Alexandria database.

a b c (Å): 6.9234 8.5440 4.3453
angles (deg): 90.00 90.00 90.00
Space group C222_1 (No. 20)
Asymmetric unit:
1 Au 0.2240 0.0000 0.0000 [4 per cell]
2 O 0.0933 0.3783 0.7826 [8 per cell]
3 F 0.0000 0.1149 0.2500 [4 per cell]

Values from the calculation:
- E (eV/cell) = -65.36
- energy relative to the elements, uncorrected (meV/atom) = -319

---

[22]
The following is a PBE-GGA calculation of crystalline OsAu2OF at its relaxed geometry, from the Alexandria database.

a b c (Å): 5.0681 5.0681 3.8663
angles (deg): 90.00 90.00 90.00
Space group P4/mmm (No. 123)
Asymmetric unit:
1 Os 0.0000 0.0000 0.0000 [1 per cell]
2 Au 0.0000 0.5000 0.0000 [2 per cell]
3 O 0.5000 0.5000 0.5000 [1 per cell]
4 F 0.0000 0.0000 0.5000 [1 per cell]

Values from the calculation:
- E (eV/cell) = -19.26
- energy relative to the elements, uncorrected (meV/atom) = 1070
- D(E_F) (states/eV per cell) = 7.45

---

[23]
The following is a PBE-GGA calculation of crystalline P2AuO6F2 at its relaxed geometry, from the Alexandria database.

a b c (Å): 4.9714 4.9714 7.4596
angles (deg): 90.00 90.00 120.00
Space group P-3 (No. 147)
Asymmetric unit:
1 P 0.3333 0.6667 0.2793 [2 per cell]
2 Au 0.0000 0.0000 0.5000 [1 per cell]
3 O 0.0402 0.6785 0.3319 [6 per cell]
4 F 0.3333 0.6667 0.0696 [2 per cell]

Values from the calculation:
- E (eV/cell) = -64.53
- energy relative to the elements, uncorrected (meV/atom) = -1540
- D(E_F) (states/eV per cell) = 4.46

---

[24]
The following is a PBE-GGA calculation of crystalline PAuOF2 at its relaxed geometry, from the Alexandria database.

a b c (Å): 4.3690 4.3690 3.4966
angles (deg): 90.00 90.00 90.00
Space group P4/mmm (No. 123)
Asymmetric unit:
1 P 0.0000 0.0000 0.0000 [1 per cell]
2 Au 0.5000 0.5000 0.5000 [1 per cell]
3 O 0.0000 0.0000 0.5000 [1 per cell]
4 F 0.0000 0.5000 0.0000 [2 per cell]

Values from the calculation:
- E (eV/cell) = -20.68
- energy relative to the elements, uncorrected (meV/atom) = -658
- D(E_F) (states/eV per cell) = 1.07
- energy relative to the lowest polymorph listed for this composition (meV per atom) = 0

---

[25]
The following is a PBE-GGA calculation of crystalline PAuOF2 at its relaxed geometry, from the Alexandria database.

a b c (Å): 4.2750 4.2750 4.2770
angles (deg): 90.00 90.00 90.00
Space group P4/mmm (No. 123)
Asymmetric unit:
1 P 0.0000 0.0000 0.0000 [1 per cell]
2 Au 0.5000 0.5000 0.5000 [1 per cell]
3 O 0.5000 0.5000 0.0000 [1 per cell]
4 F 0.0000 0.5000 0.5000 [2 per cell]

Values from the calculation:
- E (eV/cell) = -16.24
- energy relative to the elements, uncorrected (meV/atom) = 230
- D(E_F) (states/eV per cell) = 2.95
- energy relative to the lowest polymorph listed for this composition (meV per atom) = 887